# 1
The following is a DFT calculation (GGA-PBEsol) of ScCdPCl2 after structural relaxation.

The value obtained for the uncorrected formation energy is -0.1095 eV per atom. The calculation puts the uncorrected energy at -3.63 eV per atom. The calculated volume comes out at 24.6 Å³ per atom.

The structure belongs to space group P4/mmm (No. 123); the cell edges are 4.829, 4.829 and 5.285 Å and the angles 90.00°, 90.00° and 90.00°. The asymmetric unit holds Sc at (0.000, 0.000, 0.000), Cd at (0.500, 0.500, 0.500), P at (0.500, 0.500, 0.000) and Cl at (0.000, 0.500, 0.500).

---

# 2
The following is a DFT calculation (GGA-PBEsol) of Ca2TaIr after structural relaxation.

The calculation puts the uncorrected energy at -6.67 eV per atom. The calculated volume comes out at 29.7 Å³ per atom.

The structure belongs to space group R3m (No. 160, hexagonal axes); the cell edges are 4.2351, 4.2351 and 22.9163 Å and the angles 90.00°, 90.00° and 120.00°. The asymmetric unit holds Ca at (0.0000, 0.0000, 0.0000), Ca at (0.0000, 0.0000, 0.1838), Ta at (0.0000, 0.0000, 0.7537) and Ir at (0.0000, 0.0000, 0.4363).

---

# 3
The following is a DFT calculation (GGA-PBEsol) of CaZrCl2 after structural relaxation.

The value obtained for the uncorrected formation energy is -0.9982 eV per atom. The calculation puts the uncorrected energy at -4.81 eV per atom. The calculated volume comes out at 22.4 Å³ per atom.

The structure belongs to space group Cmmm (No. 65); the cell edges are 3.210, 6.346 and 8.790 Å and the angles 90.00°, 90.00° and 90.00°. The asymmetric unit holds Ca at (0.000, 0.000, 0.000), Zr at (0.000, 0.000, 0.500) and Cl at (0.000, 0.500, 0.262).

---

# 4
The following is a DFT calculation (GGA-PBEsol) of HgRuO2F after structural relaxation.

The value obtained for the uncorrected formation energy is -0.6741 eV per atom. The calculation puts the uncorrected energy at -5.31 eV per atom. The calculated volume comes out at 12.5 Å³ per atom.

The structure belongs to space group P4/mmm (No. 123); the cell edges are 3.810, 3.810 and 4.309 Å and the angles 90.00°, 90.00° and 90.00°. The asymmetric unit holds Hg at (0.000, 0.000, 0.000), Ru at (0.500, 0.500, 0.500), O at (0.000, 0.500, 0.500) and F at (0.500, 0.500, 0.000).

---

# 5
The following is a DFT calculation (GGA-PBEsol) of HfCrGa2 after structural relaxation.

The calculation puts the uncorrected energy at -7.21 eV per atom. The calculated volume comes out at 15.4 Å³ per atom.

The structure belongs to space group Pnma (No. 62); the cell edges are 9.833, 8.401 and 8.968 Å and the angles 90.00°, 90.00° and 90.00°. The asymmetric unit holds Hf at (0.049, 0.020, 0.167), Hf at (0.182, 0.750, 0.662), Cr at (0.000, 0.000, 0.500), Cr at (0.242, 0.502, 0.424), Ga at (0.092, 0.750, 0.361), Ga at (0.102, 0.250, 0.383), Ga at (0.118, 0.250, 0.935), Ga at (0.130, 0.750, 0.979) and Ga at (0.181, 0.077, 0.677).

---

# 6
The following is a DFT calculation (GGA-PBEsol) of MgAlTe after structural relaxation.

The value obtained for the uncorrected formation energy is 0.0820 eV per atom. The calculation puts the uncorrected energy at -3.03 eV per atom. The calculated volume comes out at 27.0 Å³ per atom.

The structure belongs to space group F-43m (No. 216); the cell edges are 6.864, 6.864 and 6.864 Å and the angles 90.00°, 90.00° and 90.00°. The asymmetric unit holds Mg at (0.000, 0.000, 0.000), Al at (0.250, 0.250, 0.250) and Te at (0.250, 0.250, 0.750).

---

# 7
The following is a DFT calculation (GGA-PBEsol) of KTlSb4 after structural relaxation.

The value obtained for the uncorrected formation energy is -0.1132 eV per atom. The calculation puts the uncorrected energy at -3.78 eV per atom. The calculated volume comes out at 30.4 Å³ per atom.

The structure belongs to space group F-43m (No. 216); the cell edges are 9.003, 9.003 and 9.003 Å and the angles 90.00°, 90.00° and 90.00°. The asymmetric unit holds K at (0.000, 0.000, 0.000), Tl at (0.250, 0.250, 0.750) and Sb at (0.123, 0.123, 0.377).

---

# 8
The following is a DFT calculation (GGA-PBEsol) of LiY3WO8 after structural relaxation.

The value obtained for the uncorrected formation energy is -2.9979 eV per atom. The calculation puts the uncorrected energy at -9.02 eV per atom. The calculated volume comes out at 14.4 Å³ per atom.

The structure belongs to space group P2 (No. 3); the cell edges are 5.855, 5.877 and 6.082 Å and the angles 90.00°, 116.72° and 90.00°. The asymmetric unit holds Li at (0.000, 0.000, 0.000), Y at (0.000, 0.489, 0.000), Y at (0.500, 0.257, 0.500), Y at (0.500, 0.988, 0.000), W at (0.000, 0.756, 0.500), O at (0.157, 0.769, 0.867), O at (0.196, 0.526, 0.437), O at (0.262, 0.977, 0.566) and O at (0.278, 0.219, 0.102).

---

Question: Which value of uncorrected energy does entry 5 give?
Answer: -7.21 eV per atom